Record 1
! ZnPdPt4 (PBE, relaxed); values from VASP
&SYSTEM
  ibrav = 0, nat = 12, ntyp = 3
/
ATOMIC_SPECIES
Zn 65.41 Zn.upf
Pt 195.08 Pt.upf
Pd 106.42 Pd.upf
ATOMIC_POSITIONS angstrom
Zn 2.224 4.017 -2.847
Pt 1.350 0.214 2.010
Pd -0.418 1.323 0.163
Pt 4.751 3.432 -3.638
Pt -2.025 0.198 5.336
Pt -1.249 0.784 2.774
Pt 1.377 3.417 -0.312
Zn 0.503 -0.386 4.546
Pt 2.260 0.754 -0.658
Pt 3.976 2.846 -1.076
Pt 0.467 2.877 2.356
Pd 3.145 2.307 1.536
CELL_PARAMETERS angstrom
7.849 1.554 -4.568
-2.602 3.772 -1.517
-2.520 -1.696 7.783
! VASP energy: -31.83 eV/f.u.
! Total magnetic moment: 0.000 μB per formula unit
! Distance to the lowest polymorph of the same formula: 0 meV/atom
! E_form: -201 meV per atom

Record 2
! Zn2Pd4Pt (PBE, relaxed); values from VASP
&SYSTEM
  ibrav = 0, nat = 14, ntyp = 3
/
ATOMIC_SPECIES
Zn 65.41 Zn.upf
Pd 106.42 Pd.upf
Pt 195.08 Pt.upf
ATOMIC_POSITIONS angstrom
Zn -0.238 0.038 2.605
Pd -0.553 2.619 1.860
Zn -1.964 0.209 5.812
Pd 1.202 -2.030 2.847
Pd 0.892 -3.890 6.293
Zn 2.716 -2.363 5.046
Pd -3.404 2.277 5.569
Pd -3.094 4.137 2.124
Zn -4.919 2.610 3.371
Pd -2.554 1.364 3.048
Pd 0.351 -1.117 5.369
Pd -1.650 -2.372 6.557
Pt -0.041 1.585 4.572
Pt -2.162 -1.338 3.845
CELL_PARAMETERS angstrom
-2.755 5.768 1.452
-4.036 -2.530 2.395
4.588 -2.991 4.570
! VASP energy: -31.03 eV/f.u.
! Total magnetic moment: 0.000 μB per formula unit
! Distance to the lowest polymorph of the same formula: 0 meV/atom
! E_form: -239 meV per atom

Record 3
! Zn2Pd5Pt2 (PBE, relaxed); values from VASP
&SYSTEM
  ibrav = 0, nat = 9, ntyp = 3
/
ATOMIC_SPECIES
Pd 106.42 Pd.upf
Pt 195.08 Pt.upf
Zn 65.41 Zn.upf
ATOMIC_POSITIONS angstrom
Pd -0.646 -3.490 4.546
Pd 0.000 0.000 0.000
Pt 0.607 -2.639 0.070
Pd -1.733 -1.909 -1.274
Pt -0.844 -4.071 1.913
Zn 1.242 -5.208 0.497
Pd 1.495 -4.801 3.257
Pd 0.409 -3.220 -2.563
Zn -1.480 -1.502 1.486
CELL_PARAMETERS angstrom
-3.760 -0.852 0.470
-0.363 -1.312 -5.280
3.885 -4.546 6.793
! VASP energy: -42.52 eV/f.u.
! Total magnetic moment: 0.000 μB per formula unit
! Distance to the lowest polymorph of the same formula: 61 meV/atom
! E_form: -214 meV per atom

Record 4
! Zn5PdPt4 (PBE, relaxed); values from VASP
&SYSTEM
  ibrav = 0, nat = 10, ntyp = 3
/
ATOMIC_SPECIES
Pt 195.08 Pt.upf
Zn 65.41 Zn.upf
Pd 106.42 Pd.upf
ATOMIC_POSITIONS angstrom
Pt 0.000 0.000 10.527
Zn 1.441 1.441 5.244
Pt 0.000 0.000 14.054
Pd 0.000 0.000 0.000
Zn 1.441 1.441 8.766
Zn 1.441 1.441 1.729
Zn 1.441 1.441 15.803
Pt 0.000 0.000 7.005
Pt 0.000 0.000 3.478
Zn 1.441 1.441 12.288
CELL_PARAMETERS angstrom
2.883 0.000 0.000
0.000 2.883 0.000
0.000 0.000 17.532
! VASP energy: -41.37 eV/f.u.
! Total magnetic moment: 0.000 μB per formula unit
! E_form: -564 meV per atom

Record 5
! Zn3PdPt4 (PBE, relaxed); values from VASP
&SYSTEM
  ibrav = 0, nat = 16, ntyp = 3
/
ATOMIC_SPECIES
Zn 65.41 Zn.upf
Pd 106.42 Pd.upf
Pt 195.08 Pt.upf
ATOMIC_POSITIONS angstrom
Zn -6.268 3.492 3.330
Zn 0.000 0.000 0.000
Zn -2.341 1.605 0.023
Pd -2.892 2.049 3.976
Pt -5.894 -1.117 1.887
Pt -4.280 2.570 1.660
Pt -4.806 0.499 -0.187
Pt -3.777 4.605 3.552
Pd -1.086 -1.613 2.071
Zn -3.402 -0.004 2.109
Zn -5.158 5.109 1.275
Pt -5.391 0.919 3.779
Zn -1.806 3.662 1.905
Pt -4.864 2.990 5.626
Pt -2.474 -1.092 -0.246
Pt -3.585 -2.743 1.874
CELL_PARAMETERS angstrom
-3.887 -0.610 -2.513
-2.171 -3.226 4.141
-3.612 7.324 3.811
! VASP energy: -36.53 eV/f.u.
! Total magnetic moment: 0.000 μB per formula unit
! E_form: -419 meV per atom

Record 6
! ZnPd12Pt3 (PBE, relaxed); values from VASP
&SYSTEM
  ibrav = 0, nat = 16, ntyp = 3
/
ATOMIC_SPECIES
Pd 106.42 Pd.upf
Pt 195.08 Pt.upf
Zn 65.41 Zn.upf
ATOMIC_POSITIONS angstrom
Pd 3.197 -0.689 3.514
Pd 0.554 -0.690 2.609
Pt 3.898 3.472 5.929
Pd 6.539 3.471 6.832
Pd 5.164 1.063 6.507
Pd 6.446 4.559 11.572
Pd 8.508 5.224 9.827
Pt 5.848 5.209 8.896
Pd 4.585 1.730 3.859
Pd 4.477 2.805 8.577
Pd 7.131 2.815 9.499
Pd 1.267 -2.409 0.578
Pd 2.523 1.064 5.604
Zn 0.000 0.000 0.000
Pt 1.947 1.735 2.962
Pd 2.616 -0.024 0.864
CELL_PARAMETERS angstrom
-0.795 -3.075 2.323
3.329 -1.743 -1.168
7.795 6.943 11.858
! VASP energy: -83.25 eV/f.u.
! Total magnetic moment: 0.000 μB per formula unit
! E_form: -96 meV per atom

Record 7
! ZnPdPt (PBE, relaxed); values from VASP
&SYSTEM
  ibrav = 0, nat = 3, ntyp = 3
/
ATOMIC_SPECIES
Pt 195.08 Pt.upf
Pd 106.42 Pd.upf
Zn 65.41 Zn.upf
ATOMIC_POSITIONS angstrom
Pt 0.573 1.858 1.978
Pd 3.119 0.432 2.358
Zn 2.048 0.958 0.114
CELL_PARAMETERS angstrom
-1.712 3.415 1.611
1.307 -3.041 2.496
3.777 0.174 -1.734
! VASP energy: -13.01 eV/f.u.
! Total magnetic moment: 0.000 μB per formula unit
! Distance to the lowest polymorph of the same formula: 261 meV/atom
! E_form: -167 meV per atom

Record 8
! ZnPdPt (PBE, relaxed); values from VASP
&SYSTEM
  ibrav = 0, nat = 3, ntyp = 3
/
ATOMIC_SPECIES
Pd 106.42 Pd.upf
Pt 195.08 Pt.upf
Zn 65.41 Zn.upf
ATOMIC_POSITIONS angstrom
Pd 2.010 0.000 2.503
Pt 0.741 2.168 1.252
Zn 0.034 0.000 0.000
CELL_PARAMETERS angstrom
2.786 0.000 0.000
0.000 4.335 0.000
0.000 -2.168 3.755
! VASP energy: -13.49 eV/f.u.
! Total magnetic moment: 0.000 μB per formula unit
! Distance to the lowest polymorph of the same formula: 99 meV/atom
! E_form: -329 meV per atom

The highest E_form belongs to which entry?
ZnPd12Pt3